(1)
Ce2DyCo: optimized geometry, PBE.

abc: 6.7852 9.4505 6.0619
angles: 90.00 90.00 90.00
Sites, in units of the cell vectors:
Ce 0.1559 0.0623 0.1385
Ce 0.1559 0.4377 0.1385
Ce 0.3441 0.5623 0.6385
Ce 0.3441 0.9377 0.6385
Ce 0.6559 0.0623 0.3615
Ce 0.6559 0.4377 0.3615
Ce 0.8441 0.5623 0.8615
Ce 0.8441 0.9377 0.8615
Dy 0.0538 0.2500 0.6284
Dy 0.4462 0.7500 0.1284
Dy 0.5538 0.2500 0.8716
Dy 0.9462 0.7500 0.3716
Co 0.0930 0.7500 0.8780
Co 0.4070 0.2500 0.3780
Co 0.5930 0.7500 0.6220
Co 0.9070 0.2500 0.1220

Electronic total energy (eV/atom): -6.025
Offset from the most stable computed form (meV per atom): 0
Symmetry: Pnma
Energy of formation (eV/f.u.): -0.5

***

(2)
Ce2DyCo2: optimized geometry, PBE.

abc: 7.8010 7.8010 9.5172
angles: 124.09 124.09 27.06
Sites, in units of the cell vectors:
Ce 0.0890 0.0890 0.4372
Ce 0.3624 0.3624 0.8355
Ce 0.6376 0.6376 0.1645
Ce 0.9110 0.9110 0.5628
Dy 0.3461 0.3461 0.1835
Dy 0.6539 0.6539 0.8165
Co 0.0564 0.0564 0.9326
Co 0.2758 0.2758 0.4296
Co 0.7242 0.7242 0.5704
Co 0.9436 0.9436 0.0674

Electronic total energy (eV/atom): -6.297
Offset from the most stable computed form (meV per atom): 0
Symmetry: C2/m
Energy of formation (eV/f.u.): -0.8

***

(3)
CeDyFeCo: optimized geometry, PBE.

abc: 4.7448 4.7448 4.7448
angles: 60.00 60.00 60.00
Sites, in units of the cell vectors:
Ce 0.0000 0.0000 0.0000
Dy 0.5000 0.5000 0.5000
Fe 0.2500 0.2500 0.2500
Co 0.7500 0.7500 0.7500

Electronic total energy (eV/atom): -6.521
Symmetry: F-43m
Energy of formation (eV/f.u.): 0.0

***

(4)
CeDyCoGe: optimized geometry, PBE.

abc: 4.4208 4.4208 9.6539
angles: 90.00 90.00 90.00
Sites, in units of the cell vectors:
Ce 0.2500 0.7500 0.0000
Ce 0.7500 0.2500 0.0000
Dy 0.2500 0.2500 0.3454
Dy 0.7500 0.7500 0.6546
Co 0.2500 0.2500 0.8708
Co 0.7500 0.7500 0.1292
Ge 0.2500 0.2500 0.6372
Ge 0.7500 0.7500 0.3628

Electronic total energy (eV/atom): -5.803
Symmetry: P4/nmm
Energy of formation (eV/f.u.): -1.0

***

(5)
CeDyCo2H8: optimized geometry, PBE.

abc: 6.5834 6.5834 6.5834
angles: 39.52 39.52 39.52
Sites, in units of the cell vectors:
Ce 0.0000 0.0000 0.0000
Dy 0.5000 0.5000 0.5000
Co 0.2708 0.2708 0.2708
Co 0.7292 0.7292 0.7292
H 0.0489 0.0489 0.5721
H 0.0489 0.5721 0.0489
H 0.3614 0.3614 0.3614
H 0.4279 0.9511 0.9511
H 0.5721 0.0489 0.0489
H 0.6386 0.6386 0.6386
H 0.9511 0.4279 0.9511
H 0.9511 0.9511 0.4279

Electronic total energy (eV/atom): -4.569
Symmetry: R-3m

***

(6)
CeDyCoHg: optimized geometry, PBE.

abc: 5.0848 5.0848 5.0848
angles: 60.00 60.00 60.00
Sites, in units of the cell vectors:
Ce 0.0000 0.0000 0.0000
Dy 0.5000 0.5000 0.5000
Co 0.7500 0.7500 0.7500
Hg 0.2500 0.2500 0.2500

Electronic total energy (eV/atom): -4.610
Symmetry: F-43m
Energy of formation (eV/f.u.): -0.5